Density functional theory data (GGA-PBE) for a relaxed NdYTm3Th crystal. Values from VASP.

## Properties
**DFT total energy**: -5.23 eV/atom
**Size of the total moment**: 0.000 μB per atom
**Space group**: No. 63
**DFT formation energy**: 0.1185 eV/atom
**N(E_F)**: 1.816 states/eV per atom

Quantum ESPRESSO input file:
```
&SYSTEM
  ibrav = 0, nat = 12, ntyp = 4
/
ATOMIC_SPECIES
Nd 144.24 Nd.upf
Y 88.91 Y.upf
Tm 168.93 Tm.upf
Th 232.04 Th.upf
ATOMIC_POSITIONS crystal
Nd 0.506 0.012 0.750
Nd 0.494 0.988 0.250
Y 0.830 0.659 0.750
Y 0.170 0.341 0.250
Tm 0.677 0.354 0.494
Tm 0.323 0.646 0.506
Tm 0.323 0.646 0.994
Tm 0.677 0.354 0.006
Tm 0.165 0.329 0.750
Tm 0.835 0.671 0.250
Th 0.000 0.000 0.500
Th 0.000 0.000 0.000
CELL_PARAMETERS angstrom
-2.820 -2.420 -4.464
6.035 1.726 -0.970
3.559 -10.505 3.447
```